1.
VASP calculation (GGA-PBE) on an optimized crystal structure of Ta2Nb2Os.

a = 6.5984 Å, b = 6.5984 Å, c = 4.3142 Å
α = 90.00°, β = 90.00°, γ = 90.00°
Last column: nearest neighbours and their distance in Å.
Space group P4/mbm (No. 127)
Inequivalent atoms, fractional coordinates:
Ta: 0.1697 0.3303 0.0000  6 Nb 2.75-3.01
Nb: 0.1474 0.6474 0.5000  2 Os 2.52, 2 Ta 2.75, 1 Nb 2.75
Os: 0.0000 0.0000 0.5000  4 Nb 2.52

offset from the most stable computed form = 624 meV per atom
DOS at the Fermi energy = 3.87 states/eV/f.u.
crystal system = tetragonal
ΔH_f (0 K) = 403 meV per atom
uncorrected energy = -10.6121 eV per atom

***

2.
VASP calculation (GGA-PBE) on an optimized crystal structure of Ta3Nb4Os.

a = 9.4269 Å, b = 5.5256 Å, c = 5.4974 Å
α = 90.00°, β = 90.00°, γ = 90.00°
Last column: nearest neighbours and their distance in Å.
Space group Pmn2_1 (No. 31)
Inequivalent atoms, fractional coordinates:
Ta: 0.0000 0.0763 0.0000  2 Os 2.75-2.78, 4 Nb 2.81-2.96, 4 Ta 2.90-3.05
Ta: 0.2441 0.7989 0.2344  7 Nb 2.76-3.07, 2 Ta 2.90-3.05, 1 Os 2.91
Nb: 0.0000 0.4377 0.4993  6 Nb 2.74-3.07, 2 Os 2.84-2.88, 2 Ta 3.03
Nb: 0.0000 0.9417 0.5064  4 Nb 2.74-3.00, 4 Ta 2.81-2.88
Nb: 0.2493 0.2993 0.2380  5 Ta 2.76-2.96, 1 Os 2.84, 3 Nb 2.86-3.07
Os: 0.0000 0.5793 0.9959  4 Ta 2.75-2.91, 4 Nb 2.84-2.88

DOS at the Fermi energy = 5.86 states/eV/f.u.
crystal system = orthorhombic
ΔH_f (0 K) = 16 meV per atom
uncorrected energy = -10.8678 eV per atom

***

3.
VASP calculation (GGA-PBE) on an optimized crystal structure of TaNb3Os.

a = 4.8144 Å, b = 4.8144 Å, c = 4.8144 Å
α = 90.00°, β = 90.00°, γ = 90.00°
Last column: nearest neighbours and their distance in Å.
Space group Pm-3m (No. 221)
Inequivalent atoms, fractional coordinates:
Ta: 0.0000 0.0000 0.0000  12 Nb 3.40
Nb: 0.0000 0.5000 0.5000  2 Os 2.41
Os: 0.5000 0.5000 0.5000  6 Nb 2.41

offset from the most stable computed form = 985 meV per atom
DOS at the Fermi energy = 9.13 states/eV/f.u.
crystal system = cubic
ΔH_f (0 K) = 1237 meV per atom
uncorrected energy = -9.4212 eV per atom

***

4.
VASP calculation (GGA-PBE) on an optimized crystal structure of Ta12Nb6Os.

a = 9.8944 Å, b = 9.8944 Å, c = 12.6025 Å
α = 90.00°, β = 90.00°, γ = 120.00°
Last column: nearest neighbours and their distance in Å.
Space group R-3 (No. 148, hexagonal axes)
Inequivalent atoms, fractional coordinates:
Ta: 0.0458 0.1841 0.3050  5 Ta 2.81-3.13, 5 Nb 2.88-3.13, 1 Os 2.96
Ta: 0.0646 0.8385 0.9165  4 Nb 2.86-2.93, 5 Ta 2.90-3.13
Nb: 0.0332 0.4401 0.2064  1 Os 2.73, 2 Nb 2.86, 7 Ta 2.86-3.05
Os: 0.0000 0.0000 0.5000  6 Nb 2.73, 6 Ta 2.96

DOS at the Fermi energy = 15.73 states/eV/f.u.
crystal system = trigonal
ΔH_f (0 K) = 114 meV per atom
uncorrected energy = -11.1426 eV per atom

***

5.
VASP calculation (GGA-PBE) on an optimized crystal structure of TaNb2Os.

a = 7.4344 Å, b = 7.4344 Å, c = 5.4198 Å
α = 90.00°, β = 90.00°, γ = 90.00°
Last column: nearest neighbours and their distance in Å.
Space group I-42d (No. 122)
Inequivalent atoms, fractional coordinates:
Ta: 0.0000 0.0000 0.0000  2 Os 2.71, 4 Nb 2.85
Nb: 0.2239 0.2500 0.6250  2 Os 2.59, 2 Nb 2.74, 2 Ta 2.85
Os: 0.0000 0.0000 0.5000  4 Nb 2.59, 2 Ta 2.71

offset from the most stable computed form = 760 meV per atom
DOS at the Fermi energy = 4.22 states/eV/f.u.
crystal system = tetragonal
ΔH_f (0 K) = 473 meV per atom
uncorrected energy = -10.3323 eV per atom

***

6.
VASP calculation (GGA-PBE) on an optimized crystal structure of TaNbOs2.

a = 3.0749 Å, b = 3.0749 Å, c = 6.9084 Å
α = 90.00°, β = 90.00°, γ = 90.00°
Last column: nearest neighbours and their distance in Å.
Space group P4/mmm (No. 123)
Inequivalent atoms, fractional coordinates:
Ta: 0.0000 0.0000 0.0000  8 Os 2.71
Nb: 0.0000 0.0000 0.5000  8 Os 2.85, 4 Nb 3.07
Os: 0.5000 0.5000 0.2342  4 Ta 2.71, 4 Nb 2.85

DOS at the Fermi energy = 2.45 states/eV/f.u.
crystal system = tetragonal
ΔH_f (0 K) = -223 meV per atom
uncorrected energy = -11.3185 eV per atom

***

7.
VASP calculation (GGA-PBE) on an optimized crystal structure of Ta5NbOs.

a = 4.5602 Å, b = 4.5602 Å, c = 6.4049 Å
α = 90.00°, β = 90.00°, γ = 90.00°
Last column: nearest neighbours and their distance in Å.
Space group P4/mmm (No. 123)
Inequivalent atoms, fractional coordinates:
Ta: 0.0000 0.0000 0.0000  8 Ta 2.84
Ta: 0.0000 0.5000 0.2635  2 Os 2.74, 3 Ta 2.84-3.03, 2 Nb 2.84
Nb: 0.5000 0.5000 0.0000  8 Ta 2.84
Os: 0.5000 0.5000 0.5000  8 Ta 2.74

DOS at the Fermi energy = 5.96 states/eV/f.u.
crystal system = tetragonal
ΔH_f (0 K) = 101 meV per atom
uncorrected energy = -11.4081 eV per atom

***

8.
VASP calculation (GGA-PBE) on an optimized crystal structure of TaNb2Os3.

a = 4.5558 Å, b = 13.9006 Å, c = 6.1805 Å
α = 90.00°, β = 90.00°, γ = 90.00°
Last column: nearest neighbours and their distance in Å.
Space group Cmmm (No. 65)
Inequivalent atoms, fractional coordinates:
Ta: 0.0000 0.1617 0.0000  8 Os 2.72-2.75
Nb: 0.0000 0.1614 0.5000  8 Os 2.73-2.77
Nb: 0.0000 0.5000 0.0000  8 Os 2.75-2.88
Nb: 0.0000 0.5000 0.5000  8 Os 2.76-2.90
Os: 0.0000 0.0000 0.2488  2 Ta 2.72, 6 Nb 2.73-2.76
Os: 0.0000 0.3243 0.2472  3 Ta 2.73-2.75, 5 Nb 2.75-2.90, 1 Os 3.06

DOS at the Fermi energy = 6.99 states/eV/f.u.
crystal system = orthorhombic
ΔH_f (0 K) = -149 meV per atom
uncorrected energy = -11.0956 eV per atom

***

9.
VASP calculation (GGA-PBE) on an optimized crystal structure of TaNbOs2.

a = 6.8930 Å, b = 8.6828 Å, c = 8.6940 Å
α = 90.00°, β = 90.00°, γ = 90.00°
Last column: nearest neighbours and their distance in Å.
Space group Fmmm (No. 69)
Inequivalent atoms, fractional coordinates:
Ta: 0.0000 0.0000 0.2423  8 Os 2.73-2.83, 2 Nb 2.97
Nb: 0.0000 0.2408 0.0000  8 Os 2.74-2.82, 2 Ta 2.97
Os: 0.2263 0.0000 0.5000  4 Ta 2.73-2.83, 4 Nb 2.74-2.82
Os: 0.2500 0.2500 0.2500  4 Ta 2.77, 4 Nb 2.77, 4 Os 3.08

DOS at the Fermi energy = 3.26 states/eV/f.u.
crystal system = orthorhombic
ΔH_f (0 K) = -204 meV per atom
uncorrected energy = -11.2999 eV per atom

***

10.
VASP calculation (GGA-PBE) on an optimized crystal structure of TaNb3Os.

a = 6.7639 Å, b = 6.7639 Å, c = 4.9166 Å
α = 90.00°, β = 90.00°, γ = 120.00°
Last column: nearest neighbours and their distance in Å.
Space group P6_3/m (No. 176)
Inequivalent atoms, fractional coordinates:
Ta: 0.0000 0.0000 0.2500  2 Ta 2.46, 3 Nb 2.69
Nb: 0.0894 0.6553 0.2500  1 Os 2.59, 1 Ta 2.69, 2 Nb 2.79
Os: 0.3333 0.6667 0.7500  3 Nb 2.59

offset from the most stable computed form = 315 meV per atom
DOS at the Fermi energy = 6.66 states/eV/f.u.
crystal system = hexagonal
ΔH_f (0 K) = 567 meV per atom
uncorrected energy = -10.0914 eV per atom

***

11.
VASP calculation (GGA-PBE) on an optimized crystal structure of TaNbOs2.

a = 4.6271 Å, b = 4.6271 Å, c = 3.0379 Å
α = 90.00°, β = 90.00°, γ = 90.00°
Last column: nearest neighbours and their distance in Å.
Space group P4/mmm (No. 123)
Inequivalent atoms, fractional coordinates:
Ta: 0.0000 0.0000 0.0000  8 Os 2.77, 2 Ta 3.04
Nb: 0.5000 0.5000 0.0000  8 Os 2.77, 2 Nb 3.04
Os: 0.0000 0.5000 0.5000  4 Ta 2.77, 4 Nb 2.77, 2 Os 3.04

DOS at the Fermi energy = 4.28 states/eV/f.u.
crystal system = tetragonal
ΔH_f (0 K) = -157 meV per atom
uncorrected energy = -11.2520 eV per atom

***

12.
VASP calculation (GGA-PBE) on an optimized crystal structure of TaNb4Os.

a = 6.3514 Å, b = 4.5773 Å, c = 7.4704 Å
α = 90.00°, β = 90.00°, γ = 90.00°
Last column: nearest neighbours and their distance in Å.
Space group Pmma (No. 51)
Inequivalent atoms, fractional coordinates:
Ta: 0.2500 0.0000 0.1302  1 Os 2.61, 4 Nb 2.87
Nb: 0.0000 0.0000 0.5000  2 Os 2.63, 4 Nb 2.79
Nb: 0.0159 0.5000 0.8210  4 Nb 2.68-2.97, 2 Os 2.75, 2 Ta 2.87
Nb: 0.2500 0.5000 0.4814  8 Nb 2.79-2.94
Os: 0.2500 0.0000 0.7805  1 Ta 2.61, 6 Nb 2.63-2.75

offset from the most stable computed form = 0 meV per atom
DOS at the Fermi energy = 4.73 states/eV/f.u.
crystal system = orthorhombic
ΔH_f (0 K) = 80 meV per atom
uncorrected energy = -10.4801 eV per atom

***

13.
VASP calculation (GGA-PBE) on an optimized crystal structure of Ta8Nb2Os.

a = 14.4535 Å, b = 5.3511 Å, c = 5.3337 Å
α = 90.00°, β = 101.10°, γ = 90.00°
Last column: nearest neighbours and their distance in Å.
Space group C2/m (No. 12)
Inequivalent atoms, fractional coordinates:
Ta: 0.0001 0.0000 0.2450  2 Ta 2.61-2.72
Ta: 0.1006 0.5000 0.0432  5 Ta 2.86-3.12, 2 Os 2.98-3.07, 3 Nb 2.99-3.14
Ta: 0.1617 0.2490 0.5725  1 Os 2.66, 4 Ta 2.66-2.95, 2 Nb 2.88-2.91
Nb: 0.1936 0.0000 0.0672  11 Ta 2.88-3.14
Os: 0.0000 0.5000 0.5000  4 Ta 2.66

offset from the most stable computed form = 184 meV per atom
DOS at the Fermi energy = 9.90 states/eV/f.u.
crystal system = monoclinic
ΔH_f (0 K) = 50 meV per atom
uncorrected energy = -11.4222 eV per atom

***

14.
VASP calculation (GGA-PBE) on an optimized crystal structure of Ta4Nb3Os.

a = 9.4597 Å, b = 5.5812 Å, c = 5.4213 Å
α = 90.00°, β = 90.00°, γ = 90.00°
Last column: nearest neighbours and their distance in Å.
Space group Pmn2_1 (No. 31)
Inequivalent atoms, fractional coordinates:
Ta: 0.0000 0.2007 0.0000  6 Nb 2.74-3.07, 4 Ta 2.78-2.98
Ta: 0.0000 0.7026 0.9988  2 Os 2.72-2.78, 4 Ta 2.78-2.89, 2 Nb 3.00
Ta: 0.2490 0.5620 0.7262  4 Nb 2.79-3.05, 5 Ta 2.80-3.06, 1 Os 2.95
Nb: 0.0000 0.2966 0.4953  6 Ta 2.74-3.05, 2 Os 2.74-2.84, 2 Nb 2.99
Nb: 0.2489 0.0615 0.7347  5 Ta 2.79-3.07, 3 Nb 2.80-2.99, 2 Os 2.89-3.10
Os: 0.0000 0.7875 0.4937  4 Ta 2.72-2.95, 4 Nb 2.74-2.89

offset from the most stable computed form = 167 meV per atom
DOS at the Fermi energy = 5.09 states/eV/f.u.
crystal system = orthorhombic
ΔH_f (0 K) = 27 meV per atom
uncorrected energy = -11.0789 eV per atom

***

15.
VASP calculation (GGA-PBE) on an optimized crystal structure of Ta3NbOs.

a = 5.2450 Å, b = 9.1180 Å, c = 7.7767 Å
α = 90.00°, β = 90.00°, γ = 90.00°
Last column: nearest neighbours and their distance in Å.
Space group Pnma (No. 62)
Inequivalent atoms, fractional coordinates:
Ta: 0.0744 0.0569 0.1621  2 Os 2.62-2.71, 2 Ta 2.83-2.84
Ta: 0.2044 0.2500 0.4752  2 Os 2.53
Nb: 0.1954 0.2500 0.8392  7 Ta 2.83-3.14, 2 Nb 2.97, 2 Os 3.05
Os: 0.0000 0.0000 0.5000  6 Ta 2.53-2.71

offset from the most stable computed form = 281 meV per atom
DOS at the Fermi energy = 3.48 states/eV/f.u.
crystal system = orthorhombic
ΔH_f (0 K) = 151 meV per atom
uncorrected energy = -11.2201 eV per atom

***

16.
VASP calculation (GGA-PBE) on an optimized crystal structure of TaNb3Os.

a = 4.7868 Å, b = 4.7868 Å, c = 4.7868 Å
α = 90.00°, β = 90.00°, γ = 90.00°
Last column: nearest neighbours and their distance in Å.
Space group Pm-3m (No. 221)
Inequivalent atoms, fractional coordinates:
Ta: 0.0000 0.0000 0.0000  6 Nb 2.39
Nb: 0.0000 0.0000 0.5000  2 Ta 2.39
Os: 0.5000 0.5000 0.5000  12 Nb 3.38

offset from the most stable computed form = 1680 meV per atom
DOS at the Fermi energy = 9.59 states/eV/f.u.
crystal system = cubic
ΔH_f (0 K) = 1932 meV per atom
uncorrected energy = -8.7265 eV per atom

***

17.
VASP calculation (GGA-PBE) on an optimized crystal structure of Ta3Nb3Os.

a = 7.8666 Å, b = 13.8944 Å, c = 4.7715 Å
α = 90.00°, β = 90.00°, γ = 90.00°
Last column: nearest neighbours and their distance in Å.
Space group Cmcm (No. 63)
Inequivalent atoms, fractional coordinates:
Ta: 0.0000 0.1794 0.2500  6 Ta 2.85-2.92, 5 Nb 2.95-3.12, 1 Os 2.96
Ta: 0.2125 0.1964 0.7500  1 Os 2.58, 1 Nb 2.68, 3 Ta 2.85-2.87
Nb: 0.0000 0.0454 0.7500  2 Ta 2.68, 4 Nb 2.70-2.87
Nb: 0.1878 0.4389 0.7500  3 Os 2.77-2.88, 4 Nb 2.87-2.95, 1 Ta 2.95
Os: 0.0000 0.3923 0.2500  2 Ta 2.58, 6 Nb 2.77-2.88

DOS at the Fermi energy = 6.02 states/eV/f.u.
crystal system = orthorhombic
ΔH_f (0 K) = 242 meV per atom
uncorrected energy = -10.7571 eV per atom

***

18.
VASP calculation (GGA-PBE) on an optimized crystal structure of Ta3NbOs.

a = 4.8173 Å, b = 4.8173 Å, c = 4.8173 Å
α = 90.00°, β = 90.00°, γ = 90.00°
Last column: nearest neighbours and their distance in Å.
Space group Pm-3m (No. 221)
Inequivalent atoms, fractional coordinates:
Ta: 0.0000 0.0000 0.5000  2 Os 2.41
Nb: 0.5000 0.5000 0.5000  12 Ta 3.41
Os: 0.0000 0.0000 0.0000  6 Ta 2.41

offset from the most stable computed form = 1377 meV per atom
DOS at the Fermi energy = 9.73 states/eV/f.u.
crystal system = cubic
ΔH_f (0 K) = 1247 meV per atom
uncorrected energy = -10.1243 eV per atom

***

19.
VASP calculation (GGA-PBE) on an optimized crystal structure of Ta2Nb4Os.

a = 2.7834 Å, b = 7.2141 Å, c = 7.2715 Å
α = 117.86°, β = 98.27°, γ = 96.15°
Last column: nearest neighbours and their distance in Å.
Space group P-1 (No. 2)
Inequivalent atoms, fractional coordinates:
Ta: 0.2425 0.2200 0.1408  1 Os 2.73, 3 Ta 2.78-2.88, 4 Nb 2.89-2.96
Nb: 0.0988 0.3571 0.5740  1 Os 2.77, 5 Nb 2.78-2.91, 2 Ta 2.93-2.96
Nb: 0.4698 0.0734 0.7176  1 Os 2.77, 5 Nb 2.78-2.91, 2 Ta 2.89-2.94
Os: 0.5000 0.5000 0.0000  2 Ta 2.73, 4 Nb 2.77, 2 Os 2.78

offset from the most stable computed form = 0 meV per atom
DOS at the Fermi energy = 7.38 states/eV/f.u.
crystal system = triclinic
ΔH_f (0 K) = 50 meV per atom
uncorrected energy = -10.6953 eV per atom

***

20.
VASP calculation (GGA-PBE) on an optimized crystal structure of TaNb5Os6.

a = 7.6563 Å, b = 14.0281 Å, c = 4.5139 Å
α = 90.00°, β = 125.98°, γ = 90.00°
Last column: nearest neighbours and their distance in Å.
Space group C2/m (No. 12)
Inequivalent atoms, fractional coordinates:
Ta: 0.0000 0.0000 0.0000  8 Os 2.65-2.74
Nb: 0.0000 0.1743 0.5000  8 Os 2.75-2.89
Nb: 0.0000 0.3263 0.0000  8 Os 2.75-2.89
Nb: 0.0000 0.5000 0.5000  8 Os 2.65-2.75
Os: 0.2486 0.0000 0.7486  2 Ta 2.73-2.74, 6 Nb 2.74-2.89
Os: 0.2493 0.1533 0.2493  1 Ta 2.65, 7 Nb 2.65-2.88

DOS at the Fermi energy = 9.46 states/eV/f.u.
crystal system = monoclinic
ΔH_f (0 K) = -153 meV per atom
uncorrected energy = -10.9516 eV per atom

***

21.
VASP calculation (GGA-PBE) on an optimized crystal structure of TaNb14Os.

a = 6.5925 Å, b = 9.3163 Å, c = 9.3325 Å
α = 90.00°, β = 90.00°, γ = 90.00°
Last column: nearest neighbours and their distance in Å.
Space group Cmmm (No. 65)
Inequivalent atoms, fractional coordinates:
Ta: 0.0000 0.0000 0.0000  8 Nb 2.83-2.85
Nb: 0.0000 0.0000 0.5000  8 Nb 2.85-2.92
Nb: 0.0000 0.2482 0.2485  8 Nb 2.85-2.87
Nb: 0.0000 0.5000 0.5000  8 Nb 2.85-2.89
Nb: 0.2461 0.5000 0.2440  1 Os 2.80, 1 Ta 2.83, 6 Nb 2.85-2.92
Nb: 0.2500 0.2500 0.0000  4 Nb 2.85, 2 Ta 2.85, 2 Os 2.85
Nb: 0.2500 0.2500 0.5000  8 Nb 2.85-2.87
Os: 0.0000 0.5000 0.0000  8 Nb 2.80-2.85

DOS at the Fermi energy = 26.90 states/eV/f.u.
crystal system = orthorhombic
ΔH_f (0 K) = -73 meV per atom
uncorrected energy = -10.3262 eV per atom

***

22.
VASP calculation (GGA-PBE) on an optimized crystal structure of TaNb2Os.

a = 6.4761 Å, b = 6.4761 Å, c = 6.4761 Å
α = 90.00°, β = 90.00°, γ = 90.00°
Last column: nearest neighbours and their distance in Å.
Space group Fm-3m (No. 225)
Inequivalent atoms, fractional coordinates:
Ta: 0.0000 0.0000 0.0000  8 Nb 2.80
Nb: 0.2500 0.2500 0.2500  4 Ta 2.80, 4 Os 2.80
Os: 0.0000 0.0000 0.5000  8 Nb 2.80

offset from the most stable computed form = 75 meV per atom
DOS at the Fermi energy = 1.95 states/eV/f.u.
crystal system = cubic
ΔH_f (0 K) = -212 meV per atom
uncorrected energy = -11.0171 eV per atom

***

| no. | magnetic moment (μB/cell) |
| --- | --- |
| 1 | 0.0 |
| 2 | 0.0 |
| 3 | 0.0 |
| 4 | 0.0 |
| 5 | 0.0 |
| 6 | 0.0 |
| 7 | 0.0 |
| 8 | 0.0 |
| 9 | 0.0 |
| 10 | 0.0 |
| 11 | 0.0 |
| 12 | 0.0 |
| 13 | 0.0 |
| 14 | 0.0 |
| 15 | 0.0 |
| 16 | 0.0 |
| 17 | 0.0 |
| 18 | 0.0 |
| 19 | 0.0 |
| 20 | 0.0 |
| 21 | 0.0 |
| 22 | 0.0 |